No. 1
An optimized crystal structure of CaZrGe3, computed with GGA-PBE.

The structure in extended XYZ format:
```
5
Lattice="-4.302 -2.889 0.163 2.500 -3.858 -2.397 1.457 -1.911 4.595" Properties=species:S:1:pos:R:3 pbc="T T T"
Ge -2.151 -1.445 0.082
Ge 0.729 -0.955 2.297
Ge 1.250 -1.929 -1.199
Zr 0.000 0.000 0.000
Ca -0.173 -4.329 1.180
```

## Properties
The calculation puts the energy relative to the elements at -0.06 eV per atom. The space group is Pm-3m. The raw total energy comes out at -24.72 eV/f.u.


No. 2
An optimized crystal structure of VH3Rh3, computed with GGA-PBE.

The structure in extended XYZ format:
```
14
Lattice="4.989 -0.491 0.805 0.605 4.976 0.805 -0.612 -0.491 5.016" Properties=species:S:1:pos:R:3 pbc="T T T"
V 3.176 2.546 4.224
V 1.806 1.448 2.402
Rh 0.512 2.862 4.792
Rh 4.469 1.132 1.834
Rh 1.185 4.116 2.505
Rh 1.219 0.262 4.803
Rh 3.796 -0.122 4.121
Rh 3.763 3.732 1.823
H 1.814 4.042 4.155
H 0.278 1.468 3.729
H 4.704 2.526 2.897
H 3.167 -0.048 2.471
H 2.195 3.102 1.303
H 2.786 0.892 5.323
```

## Properties
The space group is R-3. The raw total energy comes out at -41.27 eV/f.u.


No. 3
An optimized crystal structure of BaCdIn2Ge, computed with GGA-PBE.

The structure in extended XYZ format:
```
5
Lattice="-1.851 4.294 1.446 -1.463 -2.061 4.247 6.843 0.287 -0.379" Properties=species:S:1:pos:R:3 pbc="T T T"
In 0.586 0.159 0.279
In 1.129 2.703 1.701
Cd 1.280 -0.486 3.081
Ba 4.548 1.231 2.164
Ge 1.715 2.030 4.451
```

## Properties
The calculation puts the energy relative to the elements at -0.33 eV per atom. The space group is Imm2. The raw total energy comes out at -14.60 eV/f.u.


In order of appearance, M_tot = 0.0; 0.0; 0.0 μB per formula unit.